Entry 1:
A plane-wave DFT calculation with GGA-PBE was carried out for NbPd2Se6 after structural relaxation.

POSCAR file:
```
NbPd2Se6
1.0
3.042 1.756 6.168
-3.042 1.756 6.168
0.000 -3.513 6.168
Nb Pd Se
1 2 6
direct
0.000 0.000 0.000
0.662 0.662 0.662
0.840 0.840 0.840
0.093 0.726 0.433
0.248 0.560 0.951
0.433 0.093 0.726
0.560 0.951 0.248
0.726 0.433 0.093
0.951 0.248 0.560
```

Values from the calculation:
SG = R3 (146)
Distance to the lowest polymorph of the same formula = 62 meV per atom
VASP energy = -0.181 hartree per atom
Raw formation energy = -31 kJ per mole of atoms


Entry 2:
A plane-wave DFT calculation with GGA-PBE was carried out for Ce2IrPd after structural relaxation.

POSCAR file:
```
Ce2IrPd
1.0
1.923 1.110 8.641
-1.923 1.110 8.641
0.000 -2.221 8.641
Ce Ir Pd
2 1 1
direct
0.102 0.102 0.102
0.898 0.898 0.898
0.500 0.500 0.500
0.000 0.000 0.000
```

Values from the calculation:
SG = R-3m (166)
VASP energy = -0.246 hartree per atom
Energy of formation from the pure elements = -0.205 eV per atom


Entry 3:
A plane-wave DFT calculation with GGA-PBE was carried out for CaTmIrRh after structural relaxation.

POSCAR file:
```
CaTmIrRh
1.0
0.000 3.387 3.387
3.387 0.000 3.387
3.387 3.387 0.000
Ca Tm Ir Rh
1 1 1 1
direct
0.000 0.000 0.000
0.500 0.500 0.500
0.250 0.250 0.250
0.750 0.750 0.750
```

Values from the calculation:
SG = F-43m (216)
VASP energy = -0.230 hartree per atom
Energy of formation from the pure elements = -0.598 eV per atom


Entry 4:
A plane-wave DFT calculation with GGA-PBE was carried out for LaTmTh2 after structural relaxation.

POSCAR file:
```
LaTmTh2
1.0
5.094 0.000 0.000
0.000 5.031 0.000
0.000 0.000 10.244
La Tm Th
2 2 4
direct
0.250 0.000 0.134
0.750 0.000 0.866
0.250 0.500 0.866
0.750 0.500 0.134
0.250 0.000 0.622
0.250 0.500 0.382
0.750 0.000 0.378
0.750 0.500 0.618
```

Values from the calculation:
SG = Pmma (51)
Distance to the lowest polymorph of the same formula = 0 meV per atom
VASP energy = -0.222 hartree per atom
Energy of formation from the pure elements = 0.027 eV per atom